CaTa2AsO: optimized geometry, PBE.

Symmetry ... P4/mmm (123)
Crystal system ... tetragonal

Cell lengths 5.0949, 3.9206, 5.0949 Å; angles 90.00, 90.00, 90.00 degrees
Fractional positions:
Ta  0.5000  0.0000  0.0000
Ta  0.0000  0.0000  0.5000
As  0.5000  0.5000  0.5000
O  0.0000  0.5000  0.0000
Ca  0.0000  0.0000  0.0000

***

CaTaAsO6: optimized geometry, PBE.

Symmetry ... P-31c (163)
Crystal system ... trigonal

Cell lengths 5.1551, 5.1551, 10.1067 Å; angles 90.00, 90.00, 120.00 degrees
Fractional positions:
Ca  0.0000  0.0000  0.5000
Ca  0.0000  0.0000  0.0000
O  0.0196  0.3848  0.1450
O  0.3848  0.3652  0.8550
O  0.6348  0.6152  0.6450
O  0.9804  0.6152  0.8550
O  0.3652  0.9804  0.1450
O  0.3848  0.0196  0.6450
O  0.9804  0.3652  0.6450
O  0.3652  0.3848  0.3550
O  0.6348  0.0196  0.8550
O  0.0196  0.6348  0.3550
O  0.6152  0.9804  0.3550
O  0.6152  0.6348  0.1450
Ta  0.6667  0.3333  0.2500
Ta  0.3333  0.6667  0.7500
As  0.6667  0.3333  0.7500
As  0.3333  0.6667  0.2500

***

Ca2TaAsO6: optimized geometry, PBE.

Symmetry ... P4mm (99)
Crystal system ... tetragonal

Cell lengths 4.6689, 5.6852, 5.6852 Å; angles 90.00, 90.00, 90.00 degrees
Fractional positions:
Ca  0.9804  0.5000  0.0000
Ca  0.9804  0.0000  0.5000
Ta  0.5973  0.0000  0.0000
O  0.7162  0.7646  0.7646
O  0.7162  0.7646  0.2354
O  0.7162  0.2354  0.2354
O  0.7162  0.2354  0.7646
O  0.2006  0.0000  0.0000
O  0.2248  0.5000  0.5000
As  0.5988  0.5000  0.5000

***

CaTbAs2O8: optimized geometry, PBE.

Symmetry ... I-4 (82)
Crystal system ... tetragonal

Cell lengths 5.0954, 5.0954, 6.8006 Å; angles 112.00, 112.00, 90.00 degrees
Last column: magnetic moment on the atom in μB.
Fractional positions:
O  0.0260  0.4221  0.3460  0.12
O  0.0761  0.9740  0.6540  0.12
O  0.3199  0.9239  0.3460  0.12
O  0.1686  0.5571  0.8383  0.12
O  0.6697  0.2813  0.8383  0.12
O  0.4429  0.3303  0.1617  0.12
O  0.5779  0.6801  0.6540  0.12
O  0.7187  0.8314  0.1617  0.12
Tb  0.7500  0.2500  0.5000  -0.01
As  0.2500  0.7500  0.5000  -0.01
As  0.5000  0.5000  0.0000  -0.01
Ca  0.0000  0.0000  0.0000  0.00

***

CaTcAs2O8: optimized geometry, PBE.

Symmetry ... P-3m1 (164)
Crystal system ... trigonal

Cell lengths 5.4724, 5.4724, 6.7079 Å; angles 90.00, 90.00, 120.00 degrees
Last column: magnetic moment on the atom in μB.
Fractional positions:
O  0.8406  0.1594  0.1978  0.06
O  0.6812  0.8406  0.8022  0.06
O  0.6667  0.3333  0.5250  -0.01
O  0.3188  0.1594  0.1978  0.06
O  0.3333  0.6667  0.4750  -0.01
O  0.8406  0.6812  0.1978  0.06
O  0.1594  0.3188  0.8022  0.06
O  0.1594  0.8406  0.8022  0.06
As  0.6667  0.3333  0.2760  0.02
As  0.3333  0.6667  0.7240  0.02
Tc  0.0000  0.0000  0.0000  2.30
Ca  0.0000  0.0000  0.5000  0.01

***

CaThAs2O8: optimized geometry, PBE.

Symmetry ... P-3m1 (164)
Crystal system ... trigonal

Cell lengths 5.6688, 5.6688, 7.1363 Å; angles 90.00, 90.00, 120.00 degrees
Fractional positions:
O  0.8304  0.1688  0.2786
O  0.1696  0.8312  0.7214
O  0.6616  0.8304  0.7214
O  0.8312  0.6616  0.2786
O  0.3384  0.1696  0.2786
O  0.1688  0.3384  0.7214
O  0.3333  0.6667  0.0460
O  0.6667  0.3333  0.9540
Ca  0.0000  0.0000  0.0000
As  0.6667  0.3333  0.1878
As  0.3333  0.6667  0.8122
Th  0.0000  0.0000  0.5000

***

CaTiAsO2: optimized geometry, PBE.

Symmetry ... P4/mmm (123)
Crystal system ... tetragonal

Cell lengths 4.0568, 8.3197, 4.0568 Å; angles 90.00, 90.00, 90.00 degrees
Last column: magnetic moment on the atom in μB.
Fractional positions:
O  0.0000  0.0000  0.5000  0.97
O  0.5000  0.0000  0.0000  0.56
Ca  0.0000  0.0000  0.0000  0.03
Ti  0.0000  0.5000  0.0000  -0.99
As  0.5000  0.5000  0.5000  0.15

***

CaTiAsO6: optimized geometry, PBE.

Symmetry ... P-31c (163)
Crystal system ... trigonal

Cell lengths 5.1030, 5.1030, 9.9829 Å; angles 90.00, 90.00, 120.00 degrees
Last column: magnetic moment on the atom in μB.
Fractional positions:
O  0.3814  0.3638  0.8541  0.16
O  0.3638  0.3814  0.3541  0.16
O  0.0176  0.3814  0.1459  0.16
O  0.6362  0.0176  0.8541  0.16
O  0.9824  0.3638  0.6459  0.16
O  0.0176  0.6362  0.3541  0.16
O  0.3638  0.9824  0.1459  0.16
O  0.6186  0.6362  0.1459  0.16
O  0.6186  0.9824  0.3541  0.16
O  0.9824  0.6186  0.8541  0.16
O  0.6362  0.6186  0.6459  0.16
O  0.3814  0.0176  0.6459  0.16
Ti  0.3333  0.6667  0.7500  -0.06
Ti  0.6667  0.3333  0.2500  -0.06
Ca  0.0000  0.0000  0.5000  0.00
Ca  0.0000  0.0000  0.0000  0.00
As  0.3333  0.6667  0.2500  -0.02
As  0.6667  0.3333  0.7500  -0.02

***

no.,ΔE_f (raw) (kJ per mole of atoms),volume (Å³/f.u.)
1,147.4,101.8
2,-224.7,116.3
3,-234.4,150.9
4,-196.7,149.7
5,-142.4,174.0
6,-210.4,198.6
7,-12.6,136.9
8,-204.8,112.6